Record 1
Entry from Alexandria via LeMat-Bulk: an optimized crystal structure of CsNp4Pt3Se12 (PBE).

Structure (extended XYZ):
```
20
Lattice="-0.943 8.845 0.679 -6.700 -4.042 4.284 7.766 -2.451 3.642" Properties=species:S:1:pos:R:3 pbc="T T T"
Np -0.472 4.422 0.340
Np -3.350 -2.021 2.142
Np 0.062 1.176 4.302
Np 3.883 -1.225 1.821
Cs 0.000 0.000 0.000
Se 4.788 3.254 4.225
Se -1.353 2.608 2.319
Se 1.476 -0.256 6.286
Se -4.665 -0.903 4.379
Se -2.263 1.349 5.901
Se 2.386 1.003 2.704
Se 0.660 5.951 2.430
Se -0.537 -3.599 6.174
Se -0.912 -1.313 3.384
Se 4.167 -1.947 4.538
Se 1.035 3.665 5.220
Se -4.044 4.299 4.066
Pt -3.821 2.401 2.481
Pt 3.412 3.197 2.160
Pt 0.533 -3.247 3.963
```

mass density	7.94	Mg/m³
crystal system	cubic
total magnetization	10.99	μB/f.u.
space group	Im-3
calculated total energy	-6.3027	eV per atom
ΔE_f (raw)	-0.6750	eV/atom

=====

Record 2
Entry from Alexandria via LeMat-Bulk: an optimized crystal structure of Cs2Pu2NpS6 (PBE).

Structure (extended XYZ):
```
11
Lattice="7.050 -0.019 0.060 -3.501 6.119 0.060 -1.262 -2.169 8.159" Properties=species:S:1:pos:R:3 pbc="T T T"
S 1.746 3.001 5.583
S -1.802 0.904 5.521
S 0.610 5.050 2.760
S 4.088 3.027 2.760
S 1.676 -1.120 5.521
S 0.541 0.929 2.697
Cs -1.733 5.090 0.060
Cs 5.281 1.010 0.060
Np -0.631 -1.085 4.080
Pu -0.610 2.985 4.140
Pu 2.897 0.945 4.140
```

mass density	5.56	Mg/m³
crystal system	monoclinic
total magnetization	13.00	μB/f.u.
space group	C2/m
calculated total energy	-7.7249	eV per atom
ΔE_f (raw)	-1.5361	eV/atom